# 1
Entry from Alexandria via LeMat-Bulk: a PBEsol-optimized structure of SrMgAg2 (meta-GGA SCAN).

Cell and atoms, written as POSCAR:
```
SrMgAg2
1.0
4.722 0.000 0.000
2.361 4.090 0.000
2.361 1.363 5.238
Sr Mg Ag
1 1 2
Cartesian
4.722 2.727 2.619
0.000 0.000 0.000
7.084 4.090 4.689
2.361 1.363 0.549
```

ρ: 5.378 g/cm3
V: 101.17 Å³/f.u.
SG: R-3m, No. 166
Spin magnetization: 0.00 μB/f.u.
E_tot: -22.79 eV/atom

# 2
Entry from Alexandria via LeMat-Bulk: a PBEsol-optimized structure of SrMgAg2 (meta-GGA SCAN).

Cell and atoms, written as POSCAR:
```
SrMgAg2
1.0
3.570 0.000 0.000
0.000 3.570 0.000
0.000 0.000 7.197
Sr Mg Ag
1 1 2
Cartesian
1.785 1.785 3.598
1.785 1.785 0.000
0.000 0.000 5.773
0.000 0.000 1.424
```

ρ: 5.932 g/cm3
V: 91.72 Å³/f.u.
SG: P4/mmm, No. 123
Spin magnetization: 0.00 μB/f.u.
E_tot: -22.71 eV/atom

# 3
Entry from Alexandria via LeMat-Bulk: a PBEsol-optimized structure of MgTaAg (meta-GGA SCAN).

Cell and atoms, written as POSCAR:
```
MgTaAg
1.0
-0.994 3.414 2.581
-3.862 0.121 2.092
-0.153 -0.514 4.360
Ag Mg Ta
1 1 1
Cartesian
-1.252 0.755 2.258
0.000 0.000 0.000
-2.505 1.510 4.516
```

Offset from the most stable computed form: 0 meV/atom
ρ: 8.671 g/cm3
V: 59.96 Å³/f.u.
SG: F-43m, No. 216
Spin magnetization: 0.00 μB/f.u.
E_tot: -33.62 eV/atom